Record 1
Material: ZnNiPt
Method: DFT, PBE
State: optimized geometry

**Energy**: -14.1 eV/f.u.

a = 8.123 Å, b = 3.859 Å, c = 5.329 Å
α = 90.00°, β = 104.47°, γ = 90.00°
Space group Cm (No. 8)
Inequivalent atoms, fractional coordinates:
Zn 0.000 0.000 0.000
Zn 0.182 0.500 0.359
Ni 0.174 0.500 0.841
Ni 0.346 0.000 0.685
Pt 0.017 0.000 0.525
Pt 0.334 0.000 0.169

***

Record 2
Material: Sm4Tm5Al
Method: DFT, PBE
State: optimized geometry

**Energy**: -44.1 eV/f.u.

a = 10.596 Å, b = 10.596 Å, c = 5.638 Å
α = 90.00°, β = 90.00°, γ = 90.00°
Space group I4mm (No. 107)
Inequivalent atoms, fractional coordinates:
Sm 0.000 0.311 0.000
Tm 0.000 0.000 0.205
Tm 0.182 0.182 0.510
Al 0.000 0.000 0.719

***

| no. | volume (Å³ per atom) | M_tot (μB/f.u.) | ΔH_f (0 K) (eV/atom) |
| --- | --- | --- | --- |
| 1 | 13.5 | 0.377 | -0.333 |
| 2 | 31.7 | 0.000 | 0.083 |